Entry 1:
LaAsSe2 | PBE-GGA | optimized geometry

Cell and atoms, written as POSCAR:
```
LaAsSe2
1.0
-2.594 2.594 8.789
2.594 -2.594 8.789
2.594 2.594 -8.789
La As Se
2 2 4
direct
0.000 0.000 0.000
0.750 0.250 0.500
0.250 0.750 0.500
0.500 0.500 0.000
0.162 0.625 0.037
0.375 0.412 0.537
0.588 0.125 0.963
0.875 0.838 0.463
```

Output
Calculated volume   237 Å³/cell
ΔE_f (raw)   -0.713 eV/atom
DOS(E_F)   0.4 states/eV/f.u.
Crystal system   tetragonal
Space group   I-42d, No. 122
DFT total energy   -4.8498 eV per atom
Total magnetization   0.0 μB/f.u.


Entry 2:
CsAcAg2 | PBE-GGA | optimized geometry

Cell and atoms, written as POSCAR:
```
CsAcAg2
1.0
4.180 0.000 0.000
0.000 4.180 0.000
0.000 0.000 8.810
Cs Ac Ag
1 1 2
direct
0.000 0.000 0.000
0.000 0.000 0.500
0.500 0.500 0.327
0.500 0.500 0.673
```

Output
Calculated volume   154 Å³/cell
DFT formation energy   -0.08 eV per atom
DOS(E_F)   1.8 states/eV/f.u.
Crystal system   tetragonal
Space group   P4/mmm, No. 123
DFT total energy   -2.7504 eV per atom
Total magnetization   0.0 μB/f.u.


Entry 3:
TiPd4Au2 | PBE-GGA | optimized geometry

Cell and atoms, written as POSCAR:
```
TiPd4Au2
1.0
4.545 -1.953 0.000
4.545 1.953 0.000
-0.839 0.000 6.325
Ti Pd Au
1 4 2
direct
0.000 0.000 0.000
0.289 0.289 0.866
0.431 0.431 0.274
0.569 0.569 0.726
0.711 0.711 0.134
0.143 0.143 0.424
0.857 0.857 0.576
```

Output
Calculated volume   112 Å³/cell
DFT formation energy   -0.36 eV per atom
DOS(E_F)   5.1 states/eV/f.u.
Crystal system   monoclinic
Space group   C2/m, No. 12
DFT total energy   -5.3929 eV per atom
Total magnetization   0.0 μB/f.u.


Entry 4:
Cd7SnAu5 | PBE-GGA | optimized geometry

Cell and atoms, written as POSCAR:
```
Cd7SnAu5
1.0
-2.844 4.960 4.915
2.844 -4.960 4.915
2.844 4.960 -4.915
Cd Sn Au
7 1 5
direct
0.000 0.000 0.000
0.294 0.637 0.658
0.311 0.311 0.000
0.438 0.128 0.310
0.817 0.128 0.690
0.864 0.364 0.500
0.979 0.637 0.342
0.650 0.650 0.000
0.126 0.131 0.494
0.126 0.632 0.995
0.398 0.898 0.500
0.636 0.131 0.005
0.636 0.632 0.506
```

Output
Calculated volume   277 Å³/cell
DFT formation energy   -0.11 eV per atom
DOS(E_F)   4.7 states/eV/f.u.
Crystal system   orthorhombic
Space group   Imm2, No. 44
DFT total energy   -2.1699 eV per atom
Total magnetization   0.0 μB/f.u.